w:
A plane-wave DFT calculation with GGA-PBEsol was carried out for a relaxed Sr2MnW crystal.

## Properties
The density is 6.36 Mg/m³. The calculation puts the density of states at the Fermi level at 1.18 states/eV/atom.

Cell lengths 3.287, 3.631, 18.113 Å; angles 90.00, 90.00, 90.00 degrees
Space group Immm (No. 71)
Symmetry-distinct sites (fractional):
Sr  0.000  0.000  0.149 x4
Mn  0.000  0.500  0.500 x2
W  0.000  0.500  0.000 x2

x:
A plane-wave DFT calculation with GGA-PBEsol was carried out for a relaxed Sr2MnW crystal.

## Properties
The density is 7.14 Mg/m³. The calculation puts the density of states at the Fermi level at 1.26 states/eV/atom.

Cell lengths 4.404, 4.404, 9.931 Å; angles 90.00, 90.00, 90.00 degrees
Space group I4/mmm (No. 139)
Symmetry-distinct sites (fractional):
Sr  0.000  0.500  0.250 x4
Mn  0.000  0.000  0.000 x2
W  0.000  0.000  0.500 x2

Of them, the most stable is w and the least stable is x.

w:
A plane-wave DFT calculation with GGA-PBEsol was carried out for a relaxed Sr2MnW crystal.

## Properties
The density is 7.32 Mg/m³. The calculation puts the density of states at the Fermi level at 1.29 states/eV/atom.

Cell lengths 4.341, 4.341, 4.986 Å; angles 90.00, 90.00, 90.00 degrees
Space group P4/mmm (No. 123)
Symmetry-distinct sites (fractional):
Sr  0.000  0.500  0.000 x2
Mn  0.000  0.000  0.500 x1
W  0.500  0.500  0.500 x1

x:
A plane-wave DFT calculation with GGA-PBEsol was carried out for a relaxed Sr2MnW crystal.

## Properties
The density is 6.67 Mg/m³. The calculation puts the density of states at the Fermi level at 1.14 states/eV/atom.

Cell lengths 3.318, 3.318, 9.357 Å; angles 90.00, 90.00, 90.00 degrees
Space group P4mm (No. 99)
Symmetry-distinct sites (fractional):
Sr  0.000  0.000  0.000 x1
Sr  0.500  0.500  0.400 x1
Mn  0.500  0.500  0.738 x1
W  0.000  0.000  0.667 x1

Of them, the most stable is x and the least stable is w.

w:
A plane-wave DFT calculation with GGA-PBEsol was carried out for a relaxed Sr2YMn crystal.

## Properties
The density is 4.09 Mg/m³. The calculation puts the density of states at the Fermi level at 1.22 states/eV/atom.

Cell lengths 3.825, 5.530, 12.237 Å; angles 90.00, 90.00, 90.00 degrees
Space group Immm (No. 71)
Symmetry-distinct sites (fractional):
Sr  0.000  0.000  0.202 x4
Y  0.000  0.500  0.000 x2
Mn  0.000  0.500  0.500 x2

x:
A plane-wave DFT calculation with GGA-PBEsol was carried out for a relaxed Sr2YMn crystal.

## Properties
The density is 3.99 Mg/m³. The calculation puts the density of states at the Fermi level at 0.98 states/eV/atom.

Cell lengths 8.102, 8.102, 8.102 Å; angles 90.00, 90.00, 90.00 degrees
Space group Fm-3m (No. 225)
Symmetry-distinct sites (fractional):
Sr  0.250  0.250  0.250 x8
Y  0.000  0.000  0.000 x4
Mn  0.000  0.000  0.500 x4

Of them, the most stable is w and the least stable is x.

w:
A plane-wave DFT calculation with GGA-PBEsol was carried out for a relaxed SrY2Mn crystal.

## Properties
The density is 4.63 Mg/m³. The calculation puts the density of states at the Fermi level at 1.31 states/eV/atom.

Cell lengths 4.780, 4.780, 5.029 Å; angles 90.00, 90.00, 90.00 degrees
Space group P4/mmm (No. 123)
Symmetry-distinct sites (fractional):
Sr  0.000  0.000  0.000 x1
Y  0.000  0.500  0.500 x2
Mn  0.500  0.500  0.000 x1

x:
A plane-wave DFT calculation with GGA-PBEsol was carried out for a relaxed SrY2Mn crystal.

## Properties
The density is 4.53 Mg/m³. The calculation puts the density of states at the Fermi level at 1.38 states/eV/atom.

Cell lengths 3.608, 5.703, 11.423 Å; angles 90.00, 90.00, 90.00 degrees
Space group Immm (No. 71)
Symmetry-distinct sites (fractional):
Sr  0.000  0.000  0.000 x2
Y  0.000  0.500  0.204 x4
Mn  0.000  0.000  0.500 x2

Of them, the most stable is x and the least stable is w.

w:
A plane-wave DFT calculation with GGA-PBEsol was carried out for a relaxed Sr2ZrMn crystal.

## Properties
The density is 4.71 Mg/m³. The calculation puts the density of states at the Fermi level at 1.22 states/eV/atom.

Cell lengths 4.660, 4.660, 5.213 Å; angles 90.00, 90.00, 90.00 degrees
Space group P4/mmm (No. 123)
Symmetry-distinct sites (fractional):
Sr  0.000  0.500  0.000 x2
Zr  0.000  0.000  0.500 x1
Mn  0.500  0.500  0.500 x1

x:
A plane-wave DFT calculation with GGA-PBEsol was carried out for a relaxed Sr2ZrMn crystal.

## Properties
The density is 4.59 Mg/m³. The calculation puts the density of states at the Fermi level at 1.44 states/eV/atom.

Cell lengths 3.467, 3.467, 9.665 Å; angles 90.00, 90.00, 90.00 degrees
Space group P4/mmm (No. 123)
Symmetry-distinct sites (fractional):
Sr  0.000  0.000  0.228 x2
Zr  0.500  0.500  0.500 x1
Mn  0.500  0.500  0.000 x1

y:
A plane-wave DFT calculation with GGA-PBEsol was carried out for a relaxed Sr2ZrMn crystal.

## Properties
The density is 4.57 Mg/m³. The calculation puts the density of states at the Fermi level at 0.98 states/eV/atom.

Cell lengths 3.576, 5.874, 11.127 Å; angles 90.00, 90.00, 90.00 degrees
Space group Imm2 (No. 44)
Symmetry-distinct sites (fractional):
Sr  0.000  0.000  0.000 x2
Sr  0.000  0.500  0.195 x2
Zr  0.000  0.500  0.804 x2
Mn  0.000  0.000  0.458 x2

Of them, the most stable is y and the least stable is w.

w:
A plane-wave DFT calculation with GGA-PBEsol was carried out for a relaxed SrZrMn2 crystal.

## Properties
The density is 5.70 Mg/m³. The calculation puts the density of states at the Fermi level at 0.97 states/eV/atom.

Cell lengths 3.525, 3.525, 6.766 Å; angles 90.00, 90.00, 90.00 degrees
Space group P4/mmm (No. 123)
Symmetry-distinct sites (fractional):
Sr  0.000  0.000  0.000 x1
Zr  0.000  0.000  0.500 x1
Mn  0.500  0.500  0.352 x2

x:
A plane-wave DFT calculation with GGA-PBEsol was carried out for a relaxed SrZrMn2 crystal.

## Properties
The density is 5.38 Mg/m³. The calculation puts the density of states at the Fermi level at 1.19 states/eV/atom.

Cell lengths 8.836, 3.072, 6.613 Å; angles 90.00, 96.86, 90.00 degrees
Space group C2/m (No. 12)
Symmetry-distinct sites (fractional):
Sr  0.000  0.000  0.000 x2
Zr  0.000  0.500  0.500 x2
Mn  0.240  0.000  0.658 x4

y:
A plane-wave DFT calculation with GGA-PBEsol was carried out for a relaxed SrZrMn2 crystal.

## Properties
The density is 6.00 Mg/m³. The calculation puts the density of states at the Fermi level at 1.41 states/eV/atom.

Cell lengths 6.838, 6.838, 6.838 Å; angles 90.00, 90.00, 90.00 degrees
Space group F-43m (No. 216)
Symmetry-distinct sites (fractional):
Sr  0.000  0.000  0.000 x4
Zr  0.250  0.250  0.750 x4
Mn  0.000  0.000  0.500 x4
Mn  0.250  0.250  0.250 x4

Of them, the most stable is w and the least stable is y.